Material: CdFeP2O
Method: DFT, PBE with a Hubbard U
State: optimized geometry

a = 4.911 Å, b = 4.911 Å, c = 3.572 Å
α = 90.00°, β = 90.00°, γ = 90.00°
Fractional positions:
Cd 0.000 0.000 0.000
Fe 0.500 0.500 0.500
P 0.000 0.500 0.500
P 0.500 0.000 0.500
O 0.500 0.500 0.000

Theoretical density: 4.7 Mg/m³
Excess energy over the best structure of this formula in the dataset: 0 meV/atom
E: -4.2121 eV per atom